# 1
# Th8SbAu2

Th8SbAu2 after structural relaxation (PBE-GGA, Alexandria via LeMat-Bulk).

Unit cell a=8.3471 b=8.3471 c=5.6250 alpha=98.41 beta=98.41 gamma=116.92
With the nearest neighbours (Å) after each atom.
Element x y z (fractional)
Th 0.0797 0.3025 0.5891  2 Au 3.09-3.24, 2 Th 3.17-3.20
Th 0.2365 0.7635 0.0000  2 Au 3.00
Th 0.3025 0.0797 0.5891  2 Au 3.09-3.24, 2 Th 3.17-3.20
Th 0.3942 0.3942 0.1863  2 Th 3.16-3.50, 2 Au 3.23, 1 Sb 3.31
Th 0.6058 0.6058 0.8137  2 Th 3.16-3.50, 2 Au 3.23, 1 Sb 3.31
Th 0.6975 0.9203 0.4109  2 Au 3.09-3.24, 2 Th 3.17-3.20
Th 0.7635 0.2365 0.0000  2 Au 3.00
Th 0.9203 0.6975 0.4109  2 Au 3.09-3.24, 2 Th 3.17-3.20
Sb 0.0000 0.0000 0.0000  12 Th 3.31-3.63
Au 0.3093 0.6907 0.5000  8 Th 3.00-3.24
Au 0.6907 0.3093 0.5000  8 Th 3.00-3.24

Space-group type ... C2/m (12)
Formation energy (no corrections) ... -0.220 eV/atom

=====

# 2
# Th4Sb8Au3

Th4Sb8Au3 after structural relaxation (PBE-GGA, Alexandria via LeMat-Bulk).

Unit cell a=4.4974 b=4.4974 c=19.8368 alpha=90.00 beta=90.00 gamma=90.00
With the nearest neighbours (Å) after each atom.
Element x y z (fractional)
Th 0.0000 0.5000 0.1215  8 Sb 3.27-3.34, 2 Au 3.30
Th 0.0000 0.5000 0.6303  8 Sb 3.26-3.33, 4 Au 3.43
Th 0.5000 0.0000 0.3697  8 Sb 3.26-3.33, 4 Au 3.43
Th 0.5000 0.0000 0.8785  8 Sb 3.27-3.34, 2 Au 3.30
Sb 0.0000 0.0000 0.2461  4 Sb 3.18, 4 Th 3.33-3.34
Sb 0.0000 0.0000 0.7539  4 Sb 3.18, 4 Th 3.33-3.34
Sb 0.0000 0.5000 0.4051  4 Au 2.93, 4 Th 3.26
Sb 0.0000 0.5000 0.9169  2 Au 2.79
Sb 0.5000 0.0000 0.0831  2 Au 2.79
Sb 0.5000 0.0000 0.5949  4 Au 2.93, 4 Th 3.26
Sb 0.5000 0.5000 0.2459  4 Sb 3.18, 4 Th 3.33-3.34
Sb 0.5000 0.5000 0.7541  4 Sb 3.18, 4 Th 3.33-3.34
Au 0.0000 0.0000 0.0000  4 Sb 2.79
Au 0.0000 0.0000 0.5000  4 Sb 2.93, 4 Au 3.18
Au 0.5000 0.5000 0.5000  4 Sb 2.93, 4 Au 3.18

Space-group type ... P-4m2 (115)
Formation energy (no corrections) ... -0.684 eV/atom

=====

# 3
# Th4Sb2Au

Th4Sb2Au after structural relaxation (PBE-GGA, Alexandria via LeMat-Bulk).

Unit cell a=16.3061 b=4.2254 c=7.4014 alpha=90.00 beta=116.42 gamma=90.00
With the nearest neighbours (Å) after each atom.
Element x y z (fractional)
Th 0.1097 0.0000 0.2611  1 Au 3.02, 3 Sb 3.16-3.20
Th 0.1151 0.5000 0.8048  2 Au 3.05, 3 Sb 3.15-3.20
Th 0.3849 0.0000 0.1952  2 Au 3.05, 3 Sb 3.15-3.20
Th 0.3903 0.5000 0.7389  1 Au 3.02, 3 Sb 3.16-3.20
Th 0.6097 0.5000 0.2611  1 Au 3.02, 3 Sb 3.16-3.20
Th 0.6151 0.0000 0.8048  2 Au 3.05, 3 Sb 3.15-3.20
Th 0.8849 0.5000 0.1952  2 Au 3.05, 3 Sb 3.15-3.20
Th 0.8903 0.0000 0.7389  1 Au 3.02, 3 Sb 3.16-3.20
Sb 0.2453 0.0000 0.7344  6 Th 3.15-3.20
Sb 0.2547 0.5000 0.2656  6 Th 3.15-3.20
Sb 0.7453 0.5000 0.7344  6 Th 3.15-3.20
Sb 0.7547 0.0000 0.2656  6 Th 3.15-3.20
Au 0.0000 0.0000 0.5000  6 Th 3.02-3.05
Au 0.5000 0.5000 0.5000  6 Th 3.02-3.05

Space-group type ... C2/m (12)
Formation energy (no corrections) ... -0.469 eV/atom

=====

# 4
# ThSb2Au2

ThSb2Au2 after structural relaxation (PBE-GGA, Alexandria via LeMat-Bulk).

Unit cell a=12.2009 b=12.2009 c=4.4917 alpha=90.00 beta=90.00 gamma=158.97
With the nearest neighbours (Å) after each atom.
Element x y z (fractional)
Th 0.1464 0.8536 0.7500  8 Sb 3.23-3.35, 4 Au 3.37-3.40
Th 0.8536 0.1464 0.2500  8 Sb 3.23-3.35, 4 Au 3.37-3.40
Sb 0.2500 0.7500 0.2500  4 Sb 3.16, 4 Th 3.34-3.35
Sb 0.3812 0.6188 0.7500  4 Au 2.92, 4 Th 3.23
Sb 0.6188 0.3812 0.2500  4 Au 2.92, 4 Th 3.23
Sb 0.7500 0.2500 0.7500  4 Sb 3.16, 4 Th 3.34-3.35
Au 0.0400 0.9600 0.2500  2 Sb 2.92, 8 Au 2.95-3.16
Au 0.4588 0.5412 0.2500  2 Sb 2.92, 8 Au 2.96-3.16
Au 0.5412 0.4588 0.7500  2 Sb 2.92, 8 Au 2.96-3.16
Au 0.9600 0.0400 0.7500  2 Sb 2.92, 8 Au 2.95-3.16

Space-group type ... Cmcm (63)
Formation energy (no corrections) ... -0.500 eV/atom

=====

# 5
# Th2SbAu

Th2SbAu after structural relaxation (PBE-GGA, Alexandria via LeMat-Bulk).

Unit cell a=4.1342 b=4.1342 c=24.5577 alpha=90.00 beta=90.00 gamma=120.00
With the nearest neighbours (Å) after each atom.
Element x y z (fractional)
Th 0.0000 0.0000 0.0000  3 Au 3.10, 3 Sb 3.16
Th 0.0000 0.0000 0.1641  3 Au 3.15, 3 Sb 3.17
Th 0.3333 0.6667 0.6667  3 Au 3.10, 3 Sb 3.16
Th 0.3333 0.6667 0.8307  3 Au 3.15, 3 Sb 3.17
Th 0.6667 0.3333 0.3333  3 Au 3.10, 3 Sb 3.16
Th 0.6667 0.3333 0.4974  3 Au 3.15, 3 Sb 3.17
Sb 0.0000 0.0000 0.5825  6 Th 3.16-3.17
Sb 0.3333 0.6667 0.2492  6 Th 3.16-3.17
Sb 0.6667 0.3333 0.9158  6 Th 3.16-3.17
Au 0.0000 0.0000 0.4140  6 Th 3.10-3.15
Au 0.3333 0.6667 0.0806  6 Th 3.10-3.15
Au 0.6667 0.3333 0.7473  6 Th 3.10-3.15

Space-group type ... R3m (160)
Formation energy (no corrections) ... -0.610 eV/atom

=====

# 6
# ThSbAu2

ThSbAu2 after structural relaxation (PBE-GGA, Alexandria via LeMat-Bulk).

Unit cell a=4.6946 b=4.6946 c=15.2885 alpha=90.00 beta=90.00 gamma=120.00
With the nearest neighbours (Å) after each atom.
Element x y z (fractional)
Th 0.0000 0.0000 0.0000  6 Au 3.08
Th 0.3333 0.6667 0.6667  6 Au 3.08
Th 0.6667 0.3333 0.3333  6 Au 3.08
Sb 0.0000 0.0000 0.5000  6 Au 2.92
Sb 0.3333 0.6667 0.1667  6 Au 2.92
Sb 0.6667 0.3333 0.8333  6 Au 2.92
Au 0.0000 0.0000 0.2372  3 Sb 2.92, 3 Th 3.08
Au 0.0000 0.0000 0.7628  3 Sb 2.92, 3 Th 3.08
Au 0.3333 0.6667 0.4295  3 Sb 2.92, 3 Th 3.08
Au 0.3333 0.6667 0.9039  3 Sb 2.92, 3 Th 3.08
Au 0.6667 0.3333 0.0961  3 Sb 2.92, 3 Th 3.08
Au 0.6667 0.3333 0.5705  3 Sb 2.92, 3 Th 3.08

Space-group type ... R-3m (166)
Formation energy (no corrections) ... -0.580 eV/atom

=====

# 7
# Th2SbAu3

Th2SbAu3 after structural relaxation (PBE-GGA, Alexandria via LeMat-Bulk).

Unit cell a=9.6124 b=9.0940 c=6.0278 alpha=75.94 beta=66.60 gamma=37.47
With the nearest neighbours (Å) after each atom.
Element x y z (fractional)
Th 0.2365 0.7635 0.7635  10 Au 3.24-3.36, 2 Sb 3.38, 1 Th 3.45
Th 0.2500 0.2500 0.2500  4 Sb 3.31, 8 Au 3.34, 2 Th 3.65
Th 0.7500 0.7500 0.7500  4 Sb 3.31, 8 Au 3.34, 2 Th 3.65
Th 0.7635 0.2365 0.2365  10 Au 3.24-3.36, 2 Sb 3.38, 1 Th 3.45
Sb 0.3328 0.3328 0.6672  3 Au 2.78-2.81
Sb 0.6672 0.6672 0.3328  3 Au 2.78-2.81
Au 0.1643 0.1643 0.8357  2 Au 2.76, 1 Sb 2.81
Au 0.1679 0.6672 0.3328  2 Au 2.75-2.76, 1 Sb 2.78
Au 0.3328 0.8321 0.1679  2 Au 2.75-2.76, 1 Sb 2.78
Au 0.6672 0.1679 0.8321  2 Au 2.75-2.76, 1 Sb 2.78
Au 0.8321 0.3328 0.6672  2 Au 2.75-2.76, 1 Sb 2.78
Au 0.8357 0.8357 0.1643  2 Au 2.76, 1 Sb 2.81

Space-group type ... Fmmm (69)
Formation energy (no corrections) ... -0.698 eV/atom

=====

# 8
# Th7Sb2Au2

Th7Sb2Au2 after structural relaxation (PBE-GGA, Alexandria via LeMat-Bulk).

Unit cell a=7.1975 b=7.1975 c=6.9770 alpha=90.00 beta=90.00 gamma=101.26
With the nearest neighbours (Å) after each atom.
Element x y z (fractional)
Th 0.0000 0.0000 0.0000  2 Au 2.97
Th 0.0000 0.5000 0.2782  2 Au 3.00, 1 Th 3.10, 2 Sb 3.24
Th 0.0000 0.5000 0.7218  2 Au 3.00, 1 Th 3.10, 2 Sb 3.24
Th 0.5000 0.0000 0.2782  2 Au 3.00, 1 Th 3.10, 2 Sb 3.24
Th 0.5000 0.0000 0.7218  2 Au 3.00, 1 Th 3.10, 2 Sb 3.24
Th 0.5000 0.5000 0.2603  2 Au 3.16, 1 Th 3.35, 2 Sb 3.36
Th 0.5000 0.5000 0.7397  2 Au 3.16, 1 Th 3.35, 2 Sb 3.36
Sb 0.1814 0.1814 0.5000  6 Th 3.24-3.36, 1 Sb 3.31
Sb 0.8186 0.8186 0.5000  6 Th 3.24-3.36, 1 Sb 3.31
Au 0.2672 0.7328 0.0000  7 Th 2.97-3.16
Au 0.7328 0.2672 0.0000  7 Th 2.97-3.16

Space-group type ... Cmmm (65)
Formation energy (no corrections) ... -0.151 eV/atom

=====

Number 1: D(E_F) 1.150 states/eV per atom, uncorrected energy -0.24205 hartree per atom. Number 2: D(E_F) 0.354 states/eV per atom, uncorrected energy -0.20275 hartree per atom. Number 3: D(E_F) 1.045 states/eV per atom, uncorrected energy -0.23352 hartree per atom. Number 4: D(E_F) 0.507 states/eV per atom, uncorrected energy -0.18167 hartree per atom. Number 5: D(E_F) 0.663 states/eV per atom, uncorrected energy -0.22674 hartree per atom. Number 6: D(E_F) 0.450 states/eV per atom, uncorrected energy -0.18756 hartree per atom. Number 7: D(E_F) 0.632 states/eV per atom, uncorrected energy -0.20201 hartree per atom. Number 8: D(E_F) 1.376 states/eV per atom, uncorrected energy -0.22850 hartree per atom.